Computed, not measured: an optimized crystal structure of PrHo2Se5 at the PBE level of DFT.

Results
Fermi-level density of states, states/eV/cell: 11.49
Size of the total moment, μB/cell: 0.000
Space group: No. 140
Formation energy (no corrections), eV per atom: -1.64
Calculated total energy, eV/atom: -5.56

```
16
Lattice="-3.8286 3.8286 6.6243 3.8286 -3.8286 6.6243 3.8286 3.8286 -6.6243" Properties=species:S:1:pos:R:3 pbc="T T T"
Pr 0.0000 0.0000 3.3121
Pr 0.0000 0.0000 9.9364
Ho 5.0226 1.1940 0.0000
Ho 1.1940 2.6346 0.0000
Ho 2.6346 1.1940 6.6243
Ho -1.1940 2.6346 6.6243
Se 0.0000 0.0000 0.0000
Se 2.6490 1.1796 -1.9194
Se 2.6490 -1.1796 4.7049
Se 2.6490 1.1796 1.9194
Se 2.6490 -1.1796 8.5437
Se 0.0000 0.0000 6.6243
Se 1.1796 5.0082 -1.9194
Se 1.1796 2.6490 4.7049
Se 1.1796 5.0082 1.9194
Se 1.1796 2.6490 8.5437
```